1.
Computed, not measured: a relaxed Na2PrCdF8 crystal at the PBE level of DFT.

Its total magnetic moment is 1.103 Bohr magnetons per cell. For the uncorrected formation energy, the calculation gives -2804 meV/atom. The calculated volume is 14.4 Å³ per atom. The value obtained for the uncorrected energy is -0.1744 Ha/atom.

The space group is P2/m (No. 10) and the conventional cell measures 3.969, 7.861 and 5.542 Å, with angles of 90.00, 90.08 and 90.00 degrees. The asymmetric unit holds Na at (0.000, 0.241, 0.000), Pr at (0.500, 0.500, 0.500), Cd at (0.500, 0.000, 0.500), F at (0.000, 0.000, 0.268), F at (0.000, 0.500, 0.257) and F at (0.500, 0.245, 0.260).

2.
Computed, not measured: a relaxed Er2Ge4Ir3Pt crystal at the PBE level of DFT.

Its total magnetic moment is 0.000 Bohr magnetons per cell. The calculated volume is 18.1 Å³ per atom. Its formation energy is -17.363 kcal/mol of atoms. The value obtained for the uncorrected energy is -0.2490 Ha/atom.

The space group is P-4m2 (No. 115) and the conventional cell measures 4.170, 4.170 and 10.399 Å, with angles of 90.00, 90.00 and 90.00 degrees. The asymmetric unit holds Er at (0.000, 0.500, 0.243), Ge at (0.000, 0.000, 0.000), Ge at (0.000, 0.500, 0.638), Ge at (0.500, 0.500, 0.000), Ir at (0.000, 0.500, 0.869), Ir at (0.500, 0.500, 0.500) and Pt at (0.000, 0.000, 0.500).

- total magnetic moment of number 1 (Na2PrCdF8)?
  1.103 Bohr magnetons per cell